No. 1
A relaxed TlGaBi2Ir crystal, computed with PBE-GGA.

Cell: 5.4292 5.4292 5.2506 Å, 90.00 90.00 90.00°
Closest atoms and distances in Å follow each position.
Fractional positions:
Tl 0.0000 0.0000 0.0000  2 Ir 2.63
Ga 0.5000 0.5000 0.0000  8 Bi 3.78, 4 Tl 3.84
Bi 0.0000 0.5000 0.5000  2 Ir 2.71
Bi 0.5000 0.0000 0.5000  2 Ir 2.71
Ir 0.0000 0.0000 0.5000  2 Tl 2.63, 4 Bi 2.71

Summary:
The value obtained for the energy relative to the elements is 0.41 eV/atom. As for the energy: -3.99 eV per atom. As for the magnetic moment: 0.0000 μB/atom. The space group is P4/mmm (123). The calculation puts the volume at 30.95 Å³ per atom.


No. 2
A relaxed BrF crystal, computed with PBE-GGA.

Cell: 2.8234 4.2779 4.4148 Å, 65.02 72.29 89.92°
Closest atoms and distances in Å follow each position.
Fractional positions:
Br 0.0000 0.0000 0.0000  2 F 2.14
F 0.0000 0.5000 0.0000  2 Br 2.14

Summary:
Its uncorrected formation energy is -0.36 eV per atom. As for the energy: -2.13 eV per atom. As for the magnetic moment: 0.0000 μB/atom. The space group is P-1 (2). The calculation puts the volume at 22.77 Å³ per atom.


No. 3
A relaxed TaP2Br crystal, computed with PBE-GGA.

Cell: 4.9064 4.9064 4.9064 Å, 130.41 130.41 72.75°
Closest atoms and distances in Å follow each position.
Fractional positions:
Ta 0.0000 0.0000 0.0000  8 P 2.85, 4 Br 2.91
P 0.2500 0.7500 0.5000  4 Br 2.85, 4 Ta 2.85, 4 P 2.91
P 0.7500 0.2500 0.5000  4 Br 2.85, 4 Ta 2.85, 4 P 2.91
Br 0.5000 0.5000 0.0000  8 P 2.85, 4 Ta 2.91

Summary:
Its uncorrected formation energy is 0.55 eV per atom. The polymorph energy (0 for the lowest one) is 913 meV per atom. As for the energy: -5.53 eV per atom. As for the magnetic moment: 0.0000 μB/atom. The space group is I4/mmm (139). The calculation puts the volume at 16.72 Å³ per atom.